Entry 1:
Crystalline Al2CoIr at its relaxed geometry. Source: Alexandria via LeMat-Bulk, functional PBE.

Output
The total energy comes out at -25.67 eV per cell. The density of states at the Fermi level comes out at 2.81 states/eV/cell. As for the mass density: 9.6 Mg/m³. Its space group is Imm2 (44). The calculation puts the relative energy among the computed polymorphs at 22.28 kJ per mole of atoms.

Cell and atoms, written as POSCAR:
```
Al2CoIr
1.0
5.0562 -0.0022 -0.0039
2.5528 4.3644 0.0039
-3.4230 -2.8465 2.3969
Co Ir Al
1 1 2
direct
0.5070 0.5070 0.0000 Co
0.2546 0.7546 0.5000 Ir
0.0054 0.0054 0.0000 Al
0.7330 0.2330 0.5000 Al
```

***

Entry 2:
Crystalline YMn2Tc at its relaxed geometry. Source: Alexandria via LeMat-Bulk, functional PBE.

Output
The total energy comes out at -33.54 eV per cell. The density of states at the Fermi level comes out at 3.43 states/eV/cell. As for the mass density: 7.6 Mg/m³. Its space group is F-43m (216). The calculation puts the relative energy among the computed polymorphs at 20.85 kJ per mole of atoms.

Cell and atoms, written as POSCAR:
```
YMn2Tc
1.0
-0.7129 0.3822 4.4299
3.2843 -1.0240 2.9057
2.0394 3.2659 2.3352
Y Tc Mn
1 1 2
direct
0.7500 0.7500 0.7500 Y
0.5000 0.5000 0.5000 Tc
0.0000 0.0000 0.0000 Mn
0.2500 0.2500 0.2500 Mn
```

***

Q: Which value of relative energy among the computed polymorphs does entry 1 give?
A: 22.28 kJ per mole of atoms